# 1
DFT (PBE) results for an optimized crystal structure of AcTlCd.

Results
DFT formation energy = -0.128 eV per atom
VASP energy = -15.6 eV/cell
ΔE to the lowest computed polymorph = 215 meV per atom
magnetization = 0.118 μB/f.u.

Cell and atoms, written as POSCAR:
```
AcTlCd
1.0
3.367 -3.366 0.000
3.367 3.366 0.000
-3.354 0.000 9.038
Ac Tl Cd
2 2 2
direct
0.171 0.171 0.343 Ac
0.829 0.829 0.657 Ac
0.365 0.365 0.728 Tl
0.635 0.635 0.272 Tl
0.235 0.235 0.000 Cd
0.765 0.765 0.000 Cd
```

# 2
DFT (PBE) results for an optimized crystal structure of AcPmHo2Tl4.

Results
DFT formation energy = -0.323 eV per atom
VASP energy = -30.1 eV/cell
magnetization = 0.000 μB/f.u.

Cell and atoms, written as POSCAR:
```
AcPmHo2Tl4
1.0
2.758 1.593 9.049
-2.758 1.593 9.049
0.000 -3.185 9.049
Ac Pm Ho Tl
1 1 2 4
direct
0.000 0.000 0.000 Ac
0.500 0.500 0.500 Pm
0.249 0.249 0.249 Ho
0.751 0.751 0.751 Ho
0.128 0.128 0.128 Tl
0.379 0.379 0.379 Tl
0.621 0.621 0.621 Tl
0.872 0.872 0.872 Tl
```

# 3
DFT (PBE) results for an optimized crystal structure of Rb2BaCCl6.

Results
VASP energy = -34.5 eV/cell
formation energy without anion corrections = -100 kJ/mol of atoms
magnetization = 0.000 μB/f.u.

Cell and atoms, written as POSCAR:
```
Rb2BaCCl6
1.0
0.000 5.355 5.355
5.355 0.000 5.355
5.355 5.355 0.000
Rb Ba C Cl
2 1 1 6
direct
0.250 0.250 0.250 Rb
0.750 0.750 0.750 Rb
0.000 0.000 0.000 Ba
0.500 0.500 0.500 C
0.279 0.279 0.721 Cl
0.279 0.721 0.279 Cl
0.279 0.721 0.721 Cl
0.721 0.279 0.279 Cl
0.721 0.279 0.721 Cl
0.721 0.721 0.279 Cl
```

# 4
DFT (PBE) results for an optimized crystal structure of MnVSiPd.

Results
VASP energy = -30.1 eV/cell
formation energy without anion corrections = -29 kJ/mol of atoms
magnetization = 2.002 μB/f.u.

Cell and atoms, written as POSCAR:
```
MnVSiPd
1.0
0.000 3.005 3.005
3.005 0.000 3.005
3.005 3.005 0.000
Mn V Si Pd
1 1 1 1
direct
0.000 0.000 0.000 Mn
0.250 0.250 0.250 V
0.500 0.500 0.500 Si
0.750 0.750 0.750 Pd
```